The following is a GGA-PBE calculation of crystalline Hf4CuPN2 at its relaxed geometry, from OQMD.

Summary:
**Space-group type**: No. 187
**VASP energy**: -9.3391 eV per atom
**Volume**: 118.3 Å³/f.u.

Cell and atoms, written as POSCAR:
```
Hf4CuPN2
1.0
-0.0571 1.5385 2.8998
-0.5586 -3.2316 -0.1550
12.3978 -2.2109 1.4170
N Hf Cu P
2 4 1 1
Cartesian
2.7715 -0.5857 2.2239
9.1778 -1.7282 2.9561
7.8209 -3.1060 1.8018
3.7941 -2.3879 1.3416
1.7417 -0.3106 0.1991
10.6560 -1.9003 1.2179
6.1989 -1.1054 0.7085
-0.3914 -1.6415 0.8632
```

The following is a GGA-PBE calculation of crystalline Hf4CuPN2 at its relaxed geometry, from OQMD.

Summary:
**Space-group type**: No. 187
**VASP energy**: -9.3391 eV per atom
**Volume**: 118.3 Å³/f.u.

Cell and atoms, written as POSCAR:
```
Hf4CuPN2
1.0
3.2831 0.0000 0.0000
-1.6416 2.8433 0.0000
0.0000 0.0000 12.6726
Hf P Cu N
4 1 1 2
Cartesian
0.0000 0.0000 8.1167
1.6416 0.9478 10.6146
1.6416 0.9478 2.0579
0.0000 0.0000 4.5559
1.6416 0.9478 6.3363
0.0000 0.0000 0.0000
0.0000 1.8955 9.3985
0.0000 1.8955 3.2741
```

The following is a GGA-PBE calculation of crystalline Hf4CuPbN2 at its relaxed geometry, from OQMD.

Summary:
**Space-group type**: No. 187
**VASP energy**: -8.8529 eV per atom
**Volume**: 128.9 Å³/f.u.

Cell and atoms, written as POSCAR:
```
Hf4CuPbN2
1.0
3.2508 0.0000 0.0000
-1.6254 2.8153 0.0000
0.0000 0.0000 14.0834
N Cu Hf Pb
2 1 4 1
Cartesian
0.0000 1.8768 10.8000
0.0000 1.8768 3.2834
0.0000 0.0000 0.0000
1.6254 0.9384 12.0285
0.0000 0.0000 9.5259
1.6254 0.9384 2.0549
0.0000 0.0000 4.5575
1.6254 0.9384 7.0417
```

The following is a GGA-PBE calculation of crystalline Hf4CuSN2 at its relaxed geometry, from OQMD.

Summary:
**Space-group type**: No. 187
**VASP energy**: -9.2437 eV per atom
**Volume**: 116.9 Å³/f.u.

Cell and atoms, written as POSCAR:
```
Hf4CuSN2
1.0
3.2620 0.0000 0.0000
-1.6310 2.8250 0.0000
0.0000 0.0000 12.6897
Hf N S Cu
4 2 1 1
Cartesian
0.0000 0.0000 4.5320
1.6310 0.9417 10.6452
0.0000 0.0000 8.1577
1.6310 0.9417 2.0445
0.0000 1.8833 3.2579
0.0000 1.8833 9.4318
1.6310 0.9417 6.3449
0.0000 0.0000 0.0000
```

The following is a GGA-PBE calculation of crystalline Hf4CuSbN2 at its relaxed geometry, from OQMD.

Summary:
**Space-group type**: No. 187
**VASP energy**: -8.9497 eV per atom
**Volume**: 126.8 Å³/f.u.

Cell and atoms, written as POSCAR:
```
Hf4CuSbN2
1.0
3.2821 0.0000 0.0000
-1.6410 2.8423 0.0000
0.0000 0.0000 13.5959
Hf N Sb Cu
4 2 1 1
Cartesian
0.0000 0.0000 8.8484
1.6410 0.9474 2.2808
0.0000 0.0000 4.7475
1.6410 0.9474 11.3151
0.0000 1.8949 3.5365
0.0000 1.8949 10.0594
0.0000 0.0000 0.0000
1.6410 0.9474 6.7980
```

The following is a GGA-PBE calculation of crystalline Hf4CuSiN2 at its relaxed geometry, from OQMD.

Summary:
**Space-group type**: No. 187
**VASP energy**: -9.2024 eV per atom
**Volume**: 119.1 Å³/f.u.

Cell and atoms, written as POSCAR:
```
Hf4CuSiN2
1.0
-2.3952 -0.8874 -1.9383
2.4503 -1.9969 0.5385
-6.5323 -5.1970 10.4516
N Hf Si Cu
2 4 1 1
Cartesian
-0.7923 -2.9218 2.3167
-4.0698 -5.5293 7.5607
-4.2739 -3.4003 6.8382
-6.2995 -5.6484 7.7183
-2.2584 -1.7968 3.6134
-1.7930 -2.0630 0.5079
-4.0462 -3.8557 4.1131
0.0000 0.0000 0.0000
```

What is the formula in the third record?
Hf4CuPbN2

VASP energy of number 6 (Hf4CuSiN2)?
-9.2024 eV per atom

Copy entry 4 word for word.
The following is a GGA-PBE calculation of crystalline Hf4CuSN2 at its relaxed geometry, from OQMD.

Summary:
**Space-group type**: No. 187
**VASP energy**: -9.2437 eV per atom
**Volume**: 116.9 Å³/f.u.

Cell and atoms, written as POSCAR:
```
Hf4CuSN2
1.0
3.2620 0.0000 0.0000
-1.6310 2.8250 0.0000
0.0000 0.0000 12.6897
Hf N S Cu
4 2 1 1
Cartesian
0.0000 0.0000 4.5320
1.6310 0.9417 10.6452
0.0000 0.0000 8.1577
1.6310 0.9417 2.0445
0.0000 1.8833 3.2579
0.0000 1.8833 9.4318
1.6310 0.9417 6.3449
0.0000 0.0000 0.0000
```

Among the records above, which one has the highest volume?
Hf4CuPbN2